(1)
Density functional theory data (PBE-GGA) for BeZnAs2 after structural relaxation.

a b c (Å): 4.512 4.512 4.512
angles (deg): 60.00 60.00 60.00
Fractional coordinates of all 4 atoms:
Be 0.500 0.500 0.500
As 0.000 0.000 0.000
As 0.250 0.250 0.250
Zn 0.750 0.750 0.750

## Properties
Crystal system   cubic
Calculated formation energy   0.555 eV/atom
Spin magnetization   0.000 μB per atom
E above lowest polymorph   1.96 eV/f.u.

---

(2)
Density functional theory data (PBE-GGA) for Be2ZnAs after structural relaxation.

a b c (Å): 3.721 2.716 5.753
angles (deg): 75.40 90.00 90.00
Fractional coordinates of all 4 atoms:
Be 0.000 0.040 0.042
Be 0.500 0.939 0.243
As 0.500 0.163 0.813
Zn 0.000 0.357 0.402

## Properties
Crystal system   monoclinic
Calculated formation energy   0.280 eV/atom
Spin magnetization   0.000 μB per atom
E above lowest polymorph   0.03 eV/f.u.